[1]
DFT (GGA-PBE) results for an optimized crystal structure of Ac2AsSe.

Lattice parameters (Å, degrees): 9.4835 9.4835 9.4835 28.56 28.56 28.56
With the nearest neighbours (Å) after each atom.
Sites, in units of the cell vectors:
Ac: 0.1044 0.1044 0.1044  1 Se 2.85, 3 As 3.19
Ac: 0.8956 0.8956 0.8956  1 Se 2.85, 3 As 3.19
As: 0.5000 0.5000 0.5000  6 Ac 3.19
Se: 0.0000 0.0000 0.0000  2 Ac 2.85

Computed properties:
E above lowest polymorph = 0.6396 eV per atom
SG = R-3m, No. 166
ΔE_f (raw) = -1095.7 meV/atom

***

[2]
DFT (GGA-PBE) results for an optimized crystal structure of AcAs4Se.

Lattice parameters (Å, degrees): 5.8192 5.8192 5.8192 60.00 60.00 60.00
With the nearest neighbours (Å) after each atom.
Sites, in units of the cell vectors:
Ac: 0.0000 0.0000 0.0000  12 As 3.45, 4 Se 3.56
As: 0.1634 0.6122 0.6122  3 As 2.61
As: 0.6122 0.1634 0.6122  3 As 2.61
As: 0.6122 0.6122 0.1634  3 As 2.61
As: 0.6122 0.6122 0.6122  3 As 2.61
Se: 0.2500 0.2500 0.2500  12 As 3.38, 4 Ac 3.56

Computed properties:
SG = F-43m, No. 216
ΔE_f (raw) = -345.8 meV/atom

***

[3]
DFT (GGA-PBE) results for an optimized crystal structure of AcAsSe3.

Lattice parameters (Å, degrees): 5.1075 5.1075 5.1075 90.00 90.00 90.00
With the nearest neighbours (Å) after each atom.
Sites, in units of the cell vectors:
Ac: 0.0000 0.0000 0.0000  12 Se 3.61
As: 0.5000 0.5000 0.5000  6 Se 2.55
Se: 0.0000 0.5000 0.5000  2 As 2.55
Se: 0.5000 0.0000 0.5000  2 As 2.55
Se: 0.5000 0.5000 0.0000  2 As 2.55

Computed properties:
E above lowest polymorph = 0.2478 eV per atom
SG = Pm-3m, No. 221
ΔE_f (raw) = -836.2 meV/atom

***

[4]
DFT (GGA-PBE) results for an optimized crystal structure of Ac2AsSe.

Lattice parameters (Å, degrees): 4.5131 6.3730 9.0268 90.00 90.00 90.00
With the nearest neighbours (Å) after each atom.
Sites, in units of the cell vectors:
Ac: 0.2500 0.2500 0.1173  4 As 3.16-3.19, 2 Se 3.25
Ac: 0.2500 0.2500 0.6329  2 As 3.12, 4 Se 3.19-3.23
Ac: 0.7500 0.7500 0.3671  2 As 3.12, 4 Se 3.19-3.23
Ac: 0.7500 0.7500 0.8827  4 As 3.16-3.19, 2 Se 3.25
As: 0.2500 0.7500 0.1281  6 Ac 3.12-3.19
As: 0.7500 0.2500 0.8719  6 Ac 3.12-3.19
Se: 0.2500 0.7500 0.6229  6 Ac 3.19-3.25
Se: 0.7500 0.2500 0.3771  6 Ac 3.19-3.25

Computed properties:
E above lowest polymorph = 0.0015 eV per atom
SG = Pmmn, No. 59
ΔE_f (raw) = -1733.9 meV/atom

***

[5]
DFT (GGA-PBE) results for an optimized crystal structure of Ac2AsSe.

Lattice parameters (Å, degrees): 5.4530 5.4530 5.4530 60.00 60.00 60.00
With the nearest neighbours (Å) after each atom.
Sites, in units of the cell vectors:
Ac: 0.2500 0.2500 0.2500  4 As 3.34, 4 Se 3.34
Ac: 0.7500 0.7500 0.7500  4 As 3.34, 4 Se 3.34
As: 0.0000 0.0000 0.0000  8 Ac 3.34
Se: 0.5000 0.5000 0.5000  8 Ac 3.34

Computed properties:
E above lowest polymorph = 0.2890 eV per atom
SG = Fm-3m, No. 225
ΔE_f (raw) = -1446.3 meV/atom

***

[6]
DFT (GGA-PBE) results for an optimized crystal structure of Ac4As3Se.

Lattice parameters (Å, degrees): 4.5300 6.4036 9.0675 90.00 90.00 90.00
With the nearest neighbours (Å) after each atom.
Sites, in units of the cell vectors:
Ac: 0.0000 0.0000 0.0000  6 As 3.20-3.22
Ac: 0.0000 0.0000 0.5000  4 As 3.19, 2 Se 3.20
Ac: 0.5000 0.5000 0.2422  4 As 3.15-3.20, 2 Se 3.26
Ac: 0.5000 0.5000 0.7578  4 As 3.15-3.20, 2 Se 3.26
As: 0.0000 0.5000 0.0000  6 Ac 3.15-3.20
As: 0.5000 0.0000 0.2530  6 Ac 3.19-3.22
As: 0.5000 0.0000 0.7470  6 Ac 3.19-3.22
Se: 0.0000 0.5000 0.5000  6 Ac 3.20-3.26

Computed properties:
SG = Pmmm, No. 47
ΔE_f (raw) = -1629.0 meV/atom

***

[7]
DFT (GGA-PBE) results for an optimized crystal structure of Ac6As4Se.

Lattice parameters (Å, degrees): 8.9659 8.9659 8.9659 89.50 89.50 89.50
With the nearest neighbours (Å) after each atom.
Sites, in units of the cell vectors:
Ac: 0.0546 0.9098 0.6837  1 Se 2.99, 2 As 3.14-3.31
Ac: 0.0902 0.3163 0.9454  1 Se 2.99, 2 As 3.14-3.31
Ac: 0.1837 0.4098 0.5546  1 Se 2.99, 2 As 3.14-3.31
Ac: 0.3163 0.9454 0.0902  1 Se 2.99, 2 As 3.14-3.31
Ac: 0.4098 0.5546 0.1837  1 Se 2.99, 2 As 3.14-3.31
Ac: 0.4454 0.8163 0.5902  1 Se 2.99, 2 As 3.14-3.31
Ac: 0.5546 0.1837 0.4098  1 Se 2.99, 2 As 3.14-3.31
Ac: 0.5902 0.4454 0.8163  1 Se 2.99, 2 As 3.14-3.31
Ac: 0.6837 0.0546 0.9098  1 Se 2.99, 2 As 3.14-3.31
Ac: 0.8163 0.5902 0.4454  1 Se 2.99, 2 As 3.14-3.31
Ac: 0.9098 0.6837 0.0546  1 Se 2.99, 2 As 3.14-3.31
Ac: 0.9454 0.0902 0.3163  1 Se 2.99, 2 As 3.14-3.31
As: 0.1379 0.7500 0.3621  8 Ac 3.31-3.51
As: 0.2500 0.2500 0.2500  6 Ac 3.14
As: 0.2500 0.6379 0.8621  8 Ac 3.31-3.51
As: 0.3621 0.1379 0.7500  8 Ac 3.31-3.51
As: 0.6379 0.8621 0.2500  8 Ac 3.31-3.51
As: 0.7500 0.3621 0.1379  8 Ac 3.31-3.51
As: 0.7500 0.7500 0.7500  6 Ac 3.14
As: 0.8621 0.2500 0.6379  8 Ac 3.31-3.51
Se: 0.0000 0.0000 0.0000  6 Ac 2.99
Se: 0.5000 0.5000 0.5000  6 Ac 2.99

Computed properties:
SG = R-3c, No. 167
ΔE_f (raw) = -1165.8 meV/atom

***

[8]
DFT (GGA-PBE) results for an optimized crystal structure of Ac3AsSe6.

Lattice parameters (Å, degrees): 9.4966 9.4966 7.6686 90.00 90.00 102.42
With the nearest neighbours (Å) after each atom.
Sites, in units of the cell vectors:
Ac: 0.1051 0.8949 0.5000  7 Se 3.14-3.28
Ac: 0.2121 0.4142 0.4416  7 Se 3.05-3.42
Ac: 0.4142 0.2121 0.9416  7 Se 3.05-3.42
Ac: 0.5858 0.7879 0.4416  7 Se 3.05-3.42
Ac: 0.7879 0.5858 0.9416  7 Se 3.05-3.42
Ac: 0.8949 0.1051 0.0000  7 Se 3.14-3.28
As: 0.3129 0.6871 0.8710  3 Se 2.46-2.56
As: 0.6871 0.3129 0.3710  3 Se 2.46-2.56
Se: 0.0805 0.5969 0.7243  1 As 2.46
Se: 0.1413 0.1797 0.7209  4 Ac 3.05-3.15
Se: 0.1797 0.1413 0.2209  4 Ac 3.05-3.15
Se: 0.2832 0.7168 0.2766  3 Ac 3.08-3.14, 1 As 3.14
Se: 0.4031 0.9195 0.7243  1 As 2.46
Se: 0.4676 0.5324 0.7226  1 As 2.56
Se: 0.5324 0.4676 0.2226  1 As 2.56
Se: 0.5969 0.0805 0.2243  1 As 2.46
Se: 0.7168 0.2832 0.7766  3 Ac 3.08-3.14, 1 As 3.14
Se: 0.8203 0.8587 0.7209  4 Ac 3.05-3.15
Se: 0.8587 0.8203 0.2209  4 Ac 3.05-3.15
Se: 0.9195 0.4031 0.2243  1 As 2.46

Computed properties:
SG = Cmc2_1, No. 36
ΔE_f (raw) = -1537.7 meV/atom

***

[9]
DFT (GGA-PBE) results for an optimized crystal structure of Ac4AsSe2.

Lattice parameters (Å, degrees): 8.7062 8.7062 7.5838 115.61 115.61 29.28
With the nearest neighbours (Å) after each atom.
Sites, in units of the cell vectors:
Ac: 0.1223 0.1223 0.4524  1 As 3.11, 3 Se 3.16-3.18
Ac: 0.3772 0.3772 0.0391  2 As 3.12, 3 Se 3.17-3.21
Ac: 0.6228 0.6228 0.9609  2 As 3.12, 3 Se 3.17-3.21
Ac: 0.8777 0.8777 0.5476  1 As 3.11, 3 Se 3.16-3.18
As: 0.0000 0.0000 0.0000  6 Ac 3.11-3.12
Se: 0.2540 0.2540 0.2549  6 Ac 3.16-3.21
Se: 0.7460 0.7460 0.7451  6 Ac 3.16-3.21

Computed properties:
SG = C2/m, No. 12
ΔE_f (raw) = -1390.0 meV/atom

***

[10]
DFT (GGA-PBE) results for an optimized crystal structure of Ac2AsSe.

Lattice parameters (Å, degrees): 7.8157 7.8157 7.8157 131.88 131.88 70.42
With the nearest neighbours (Å) after each atom.
Sites, in units of the cell vectors:
Ac: 0.1206 0.3706 0.7500  3 As 3.14-3.19, 3 Se 3.19-3.25
Ac: 0.3706 0.1206 0.2500  3 As 3.14-3.19, 3 Se 3.19-3.25
Ac: 0.6294 0.8794 0.7500  3 As 3.14-3.19, 3 Se 3.19-3.25
Ac: 0.8794 0.6294 0.2500  3 As 3.14-3.19, 3 Se 3.19-3.25
As: 0.1250 0.8750 0.2500  6 Ac 3.14-3.19
As: 0.8750 0.1250 0.7500  6 Ac 3.14-3.19
Se: 0.3750 0.6250 0.7500  6 Ac 3.19-3.25
Se: 0.6250 0.3750 0.2500  6 Ac 3.19-3.25

Computed properties:
E above lowest polymorph = 0.0000 eV per atom
SG = I4_1/amd, No. 141
ΔE_f (raw) = -1735.4 meV/atom

***

[11]
DFT (GGA-PBE) results for an optimized crystal structure of AcAsSe4.

Lattice parameters (Å, degrees): 6.2817 9.8304 6.4631 90.00 100.33 90.00
With the nearest neighbours (Å) after each atom.
Sites, in units of the cell vectors:
Ac: 0.1478 0.2500 0.1978  8 Se 3.17-3.42
Ac: 0.8522 0.7500 0.8022  8 Se 3.17-3.42
As: 0.3768 0.7500 0.3090  4 Se 2.35-2.42
As: 0.6232 0.2500 0.6910  4 Se 2.35-2.42
Se: 0.1969 0.5669 0.0955  1 As 2.42
Se: 0.1969 0.9331 0.0955  1 As 2.42
Se: 0.2494 0.2500 0.6957  1 As 2.35
Se: 0.3370 0.7500 0.6629  1 As 2.35
Se: 0.6630 0.2500 0.3371  1 As 2.35
Se: 0.7506 0.7500 0.3043  1 As 2.35
Se: 0.8031 0.0669 0.9045  1 As 2.42
Se: 0.8031 0.4331 0.9045  1 As 2.42

Computed properties:
SG = P2_1/m, No. 11
ΔE_f (raw) = -813.6 meV/atom

***

[12]
DFT (GGA-PBE) results for an optimized crystal structure of Ac5AsSe4.

Lattice parameters (Å, degrees): 16.1743 16.1743 16.1743 164.07 164.07 22.60
With the nearest neighbours (Å) after each atom.
Sites, in units of the cell vectors:
Ac: 0.0000 0.0000 0.0000  4 As 3.17, 2 Se 3.20
Ac: 0.2015 0.2015 0.0000  6 Se 3.16-3.19
Ac: 0.4017 0.4017 0.0000  1 As 3.12, 5 Se 3.17-3.19
Ac: 0.5983 0.5983 0.0000  1 As 3.12, 5 Se 3.17-3.19
Ac: 0.7985 0.7985 0.0000  6 Se 3.16-3.19
As: 0.5000 0.5000 0.0000  6 Ac 3.12-3.17
Se: 0.1010 0.1010 0.0000  6 Ac 3.17-3.20
Se: 0.3011 0.3011 0.0000  6 Ac 3.16-3.19
Se: 0.6989 0.6989 0.0000  6 Ac 3.16-3.19
Se: 0.8990 0.8990 0.0000  6 Ac 3.17-3.20

Computed properties:
SG = I4/mmm, No. 139
ΔE_f (raw) = -1812.6 meV/atom